Computed, not measured: an optimized crystal structure of AlMo2N at the PBE-GGA level of DFT.

Cell: 2.8573 2.8573 14.5944 Å, 90.00 90.00 120.00°
With the nearest neighbours (Å) after each atom.
Sites, in units of the cell vectors:
Al 0.3333 0.6667 0.2500  6 Mo 2.79, 6 Al 2.86
Al 0.6667 0.3333 0.7500  6 Mo 2.79, 6 Al 2.86
Mo 0.3333 0.6667 0.5962  3 N 2.17
Mo 0.3333 0.6667 0.9038  3 N 2.17
Mo 0.6667 0.3333 0.0962  3 N 2.17
Mo 0.6667 0.3333 0.4038  3 N 2.17
N 0.0000 0.0000 0.0000  6 Mo 2.17
N 0.0000 0.0000 0.5000  6 Mo 2.17

Summary:
As for the volume: 12.9 A^3/atom. The symmetry is P6_3/mmc (194). The value obtained for the total energy is -8.638 eV/atom.